No. 1
# Tm2InOs (PBE, relaxed)
# ΔH_f (0 K) = -0.1132 eV per atom
data_Tm2InOs
_space_group_name_H-M_alt 'P 1'
_space_group_IT_number 1
_cell_length_a 9.520
_cell_length_b 9.520
_cell_length_c 9.520
_cell_angle_alpha 20.75
_cell_angle_beta 20.75
_cell_angle_gamma 20.75
loop_
_space_group_symop_operation_xyz
'x,y,z'
loop_
_atom_site_label
_atom_site_type_symbol
_atom_site_fract_x
_atom_site_fract_y
_atom_site_fract_z
Tm1 Tm 0.238 0.238 0.238
Tm2 Tm 0.762 0.762 0.762
In1 In 0.000 0.000 0.000
Os1 Os 0.500 0.500 0.500

No. 2
# AcErAu2 (PBE, relaxed)
# ΔH_f (0 K) = -0.7451 eV per atom
data_AcErAu2
_space_group_name_H-M_alt 'P 1'
_space_group_IT_number 1
_cell_length_a 5.322
_cell_length_b 5.322
_cell_length_c 5.322
_cell_angle_alpha 60.00
_cell_angle_beta 60.00
_cell_angle_gamma 60.00
loop_
_space_group_symop_operation_xyz
'x,y,z'
loop_
_atom_site_label
_atom_site_type_symbol
_atom_site_fract_x
_atom_site_fract_y
_atom_site_fract_z
Ac1 Ac 0.000 0.000 0.000
Er1 Er 0.500 0.500 0.500
Au1 Au 0.250 0.250 0.250
Au2 Au 0.750 0.750 0.750

No. 3
# Ce2ZrN3 (PBE, relaxed)
# Formation energy from raw total energies = -9.43 eV per formula unit
data_Ce2ZrN3
_space_group_name_H-M_alt 'P 1'
_space_group_IT_number 1
_cell_length_a 6.003
_cell_length_b 6.003
_cell_length_c 5.957
_cell_angle_alpha 99.57
_cell_angle_beta 99.57
_cell_angle_gamma 119.59
loop_
_space_group_symop_operation_xyz
'x,y,z'
loop_
_atom_site_label
_atom_site_type_symbol
_atom_site_fract_x
_atom_site_fract_y
_atom_site_fract_z
Ce1 Ce 0.084 0.916 0.750
Ce2 Ce 0.248 0.752 0.250
Ce3 Ce 0.752 0.248 0.750
Ce4 Ce 0.916 0.084 0.250
Zr1 Zr 0.422 0.578 0.750
Zr2 Zr 0.578 0.422 0.250
N1 N 0.000 0.500 0.500
N2 N 0.196 0.350 0.004
N3 N 0.350 0.196 0.504
N4 N 0.500 0.000 0.000
N5 N 0.650 0.804 0.496
N6 N 0.804 0.650 0.996

No. 4
# Pr3TmMg (PBE, relaxed)
# ΔH_f (0 K) = 0.1170 eV per atom
data_Pr3TmMg
_space_group_name_H-M_alt 'P 1'
_space_group_IT_number 1
_cell_length_a 3.854
_cell_length_b 10.738
_cell_length_c 8.269
_cell_angle_alpha 90.00
_cell_angle_beta 90.00
_cell_angle_gamma 90.00
loop_
_space_group_symop_operation_xyz
'x,y,z'
loop_
_atom_site_label
_atom_site_type_symbol
_atom_site_fract_x
_atom_site_fract_y
_atom_site_fract_z
Pr1 Pr 0.250 0.004 0.232
Pr2 Pr 0.250 0.496 0.232
Pr3 Pr 0.250 0.750 0.555
Pr4 Pr 0.750 0.250 0.445
Pr5 Pr 0.750 0.504 0.768
Pr6 Pr 0.750 0.996 0.768
Tm1 Tm 0.250 0.750 0.945
Tm2 Tm 0.750 0.250 0.055
Mg1 Mg 0.250 0.250 0.760
Mg2 Mg 0.750 0.750 0.240

No. 5
# RbAl3Pd (PBE, relaxed)
# ΔH_f (0 K) = 1.9147 eV per atom
data_RbAl3Pd
_space_group_name_H-M_alt 'P 1'
_space_group_IT_number 1
_cell_length_a 5.742
_cell_length_b 5.742
_cell_length_c 5.742
_cell_angle_alpha 90.00
_cell_angle_beta 90.00
_cell_angle_gamma 90.00
loop_
_space_group_symop_operation_xyz
'x,y,z'
loop_
_atom_site_label
_atom_site_type_symbol
_atom_site_fract_x
_atom_site_fract_y
_atom_site_fract_z
Rb1 Rb 0.000 0.000 0.000
Al1 Al 0.000 0.000 0.500
Al2 Al 0.000 0.500 0.000
Al3 Al 0.500 0.000 0.000
Pd1 Pd 0.500 0.500 0.500

No. 6
# Ta5Al (PBE, relaxed)
# ΔH_f (0 K) = 0.0364 eV per atom
data_Ta5Al
_space_group_name_H-M_alt 'P 1'
_space_group_IT_number 1
_cell_length_a 2.816
_cell_length_b 2.816
_cell_length_c 13.651
_cell_angle_alpha 90.00
_cell_angle_beta 90.00
_cell_angle_gamma 90.00
loop_
_space_group_symop_operation_xyz
'x,y,z'
loop_
_atom_site_label
_atom_site_type_symbol
_atom_site_fract_x
_atom_site_fract_y
_atom_site_fract_z
Ta1 Ta 0.000 0.000 0.000
Ta2 Ta 0.000 0.000 0.346
Ta3 Ta 0.000 0.000 0.654
Ta4 Ta 0.500 0.500 0.173
Ta5 Ta 0.500 0.500 0.827
Al1 Al 0.500 0.500 0.500

No. 7
# KMg3GaSi3H2O12 (PBE, relaxed)
# DFT total energy = -145.28 eV per cell
data_KMg3GaSi3H2O12
_space_group_name_H-M_alt 'P 1'
_space_group_IT_number 1
_cell_length_a 5.362
_cell_length_b 5.365
_cell_length_c 10.794
_cell_angle_alpha 94.89
_cell_angle_beta 94.61
_cell_angle_gamma 119.98
loop_
_space_group_symop_operation_xyz
'x,y,z'
loop_
_atom_site_label
_atom_site_type_symbol
_atom_site_fract_x
_atom_site_fract_y
_atom_site_fract_z
K1 K 0.000 0.000 0.000
Mg1 Mg 0.179 0.841 0.526
Mg2 Mg 0.504 0.501 0.525
Mg3 Mg 0.844 0.176 0.524
Ga1 Ga 0.262 0.595 0.785
Si1 Si 0.420 0.753 0.260
Si2 Si 0.597 0.263 0.789
Si3 Si 0.751 0.418 0.260
H1 H 0.121 0.100 0.329
H2 H 0.895 0.895 0.705
O1 O 0.067 0.571 0.203
O2 O 0.143 0.134 0.420
O3 O 0.204 0.537 0.613
O4 O 0.361 0.972 0.845
O5 O 0.474 0.808 0.411
O6 O 0.546 0.209 0.632
O7 O 0.561 0.537 0.844
O8 O 0.562 0.562 0.202
O9 O 0.570 0.066 0.201
O10 O 0.798 0.465 0.411
O11 O 0.869 0.868 0.614
O12 O 0.926 0.337 0.845

No. 8
# Zn2AgBiC (PBE, relaxed)
# ΔH_f (0 K) = 0.6621 eV per atom
data_Zn2AgBiC
_space_group_name_H-M_alt 'P 1'
_space_group_IT_number 1
_cell_length_a 4.115
_cell_length_b 4.115
_cell_length_c 5.338
_cell_angle_alpha 90.00
_cell_angle_beta 90.00
_cell_angle_gamma 90.00
loop_
_space_group_symop_operation_xyz
'x,y,z'
loop_
_atom_site_label
_atom_site_type_symbol
_atom_site_fract_x
_atom_site_fract_y
_atom_site_fract_z
Zn1 Zn 0.000 0.500 0.000
Zn2 Zn 0.500 0.000 0.000
Ag1 Ag 0.000 0.000 0.500
Bi1 Bi 0.500 0.500 0.500
C1 C 0.000 0.000 0.000

No. 9
# CsTiTeN2 (PBE, relaxed)
# Formation energy from raw total energies = 11.30 eV per formula unit
data_CsTiTeN2
_space_group_name_H-M_alt 'P 1'
_space_group_IT_number 1
_cell_length_a 4.269
_cell_length_b 4.269
_cell_length_c 6.760
_cell_angle_alpha 90.00
_cell_angle_beta 90.00
_cell_angle_gamma 90.00
loop_
_space_group_symop_operation_xyz
'x,y,z'
loop_
_atom_site_label
_atom_site_type_symbol
_atom_site_fract_x
_atom_site_fract_y
_atom_site_fract_z
Cs1 Cs 0.000 0.000 0.000
Ti1 Ti 0.500 0.500 0.500
Te1 Te 0.000 0.000 0.500
N1 N 0.000 0.500 0.000
N2 N 0.500 0.000 0.000

No. 10
# ScPaTi2 (PBE, relaxed)
# ΔH_f (0 K) = 0.1392 eV per atom
data_ScPaTi2
_space_group_name_H-M_alt 'P 1'
_space_group_IT_number 1
_cell_length_a 4.679
_cell_length_b 4.679
_cell_length_c 3.737
_cell_angle_alpha 90.00
_cell_angle_beta 90.00
_cell_angle_gamma 90.00
loop_
_space_group_symop_operation_xyz
'x,y,z'
loop_
_atom_site_label
_atom_site_type_symbol
_atom_site_fract_x
_atom_site_fract_y
_atom_site_fract_z
Sc1 Sc 0.000 0.000 0.000
Pa1 Pa 0.500 0.500 0.000
Ti1 Ti 0.000 0.500 0.500
Ti2 Ti 0.500 0.000 0.500

No. 11
# TePt2W (PBE, relaxed)
# Formation energy from raw total energies = 0.85 eV per formula unit
data_TePt2W
_space_group_name_H-M_alt 'P 1'
_space_group_IT_number 1
_cell_length_a 2.951
_cell_length_b 3.676
_cell_length_c 6.659
_cell_angle_alpha 90.00
_cell_angle_beta 90.00
_cell_angle_gamma 90.00
loop_
_space_group_symop_operation_xyz
'x,y,z'
loop_
_atom_site_label
_atom_site_type_symbol
_atom_site_fract_x
_atom_site_fract_y
_atom_site_fract_z
Te1 Te 0.000 0.000 0.000
Pt1 Pt 0.000 0.000 0.484
Pt2 Pt 0.500 0.500 0.720
W1 W 0.500 0.500 0.292

No. 12
# BeTl2GaSe4 (PBE, relaxed)
# Formation energy from raw total energies = -3.62 eV per formula unit
data_BeTl2GaSe4
_space_group_name_H-M_alt 'P 1'
_space_group_IT_number 1
_cell_length_a 6.589
_cell_length_b 6.589
_cell_length_c 7.005
_cell_angle_alpha 122.05
_cell_angle_beta 122.05
_cell_angle_gamma 82.63
loop_
_space_group_symop_operation_xyz
'x,y,z'
loop_
_atom_site_label
_atom_site_type_symbol
_atom_site_fract_x
_atom_site_fract_y
_atom_site_fract_z
Be1 Be 0.000 0.000 0.000
Tl1 Tl 0.501 0.499 0.000
Tl2 Tl 0.751 0.249 0.500
Ga1 Ga 0.250 0.750 0.500
Se1 Se 0.119 0.353 0.078
Se2 Se 0.274 0.042 0.395
Se3 Se 0.647 0.881 0.922
Se4 Se 0.958 0.726 0.605

no.,total magnetization (μB/f.u.)
1,0.0
2,0.0
3,0.0
4,0.0
5,0.0
6,0.0
7,0.0
8,0.0
9,0.1
10,0.0
11,0.0
12,0.0